[1]
Density functional theory data (PBE) for a geometry-optimized BPIrAu structure.

Results
ΔH_f (0 K): 0.10 eV/atom
relative energy among the computed polymorphs: 0.069 eV per atom
DFT total energy: -5.96 eV per atom

Geometry as CIF:
```
data_BPIrAu
_chemical_formula_sum 'B1 P1 Ir1 Au1'
_cell_length_a 3.6143
_cell_length_b 3.4842
_cell_length_c 5.3417
_cell_angle_alpha 90.00
_cell_angle_beta 95.65
_cell_angle_gamma 90.00
_symmetry_space_group_name_H-M 'P 1 m 1'
_symmetry_Int_Tables_number 6
_symmetry_space_group_name_Hall 'P -2y'
loop_
_atom_site_label
_atom_site_fract_x
_atom_site_fract_y
_atom_site_fract_z
_atom_site_occupancy
B1 0.0000 0.0000 0.0000 1
P1 0.6137 0.5000 0.4468 1
Ir1 0.5345 0.0000 0.1784 1
Au1 0.1462 0.5000 0.7694 1
```



[2]
Density functional theory data (PBE) for a geometry-optimized Pr6Rh2Pb structure.

Results
ΔH_f (0 K): -0.47 eV/atom
DFT total energy: -5.70 eV per atom

Geometry as CIF:
```
data_Pr6Rh2Pb
_chemical_formula_sum 'Pr24 Rh8 Pb4'
_cell_length_a 9.7061
_cell_length_b 10.2073
_cell_length_c 10.8900
_cell_angle_alpha 90.00
_cell_angle_beta 90.00
_cell_angle_gamma 90.00
_symmetry_space_group_name_H-M 'I m m m'
_symmetry_Int_Tables_number 71
_symmetry_space_group_name_Hall '-I 2 2'
loop_
_atom_site_label
_atom_site_fract_x
_atom_site_fract_y
_atom_site_fract_z
_atom_site_occupancy
Pr1 0.0000 0.2030 0.2318 1
Pr2 0.1903 0.5000 0.1711 1
Pr3 0.2045 0.3192 0.5000 1
Rh1 0.0000 0.3412 0.0000 1
Rh2 0.0000 0.5000 0.3677 1
Pb1 0.0000 0.0000 0.0000 1
Pb2 0.0000 0.0000 0.5000 1
```



[3]
Density functional theory data (PBE) for a geometry-optimized KSmO2 structure.

Results
ΔE_f (raw): -10.66 eV per formula unit
DFT total energy: -6.60 eV per atom

Geometry as CIF:
```
data_KSmO2
_chemical_formula_sum 'K3 Sm3 O6'
_cell_length_a 3.5873
_cell_length_b 3.5873
_cell_length_c 18.8814
_cell_angle_alpha 90.00
_cell_angle_beta 90.00
_cell_angle_gamma 120.00
_symmetry_space_group_name_H-M 'R -3 m'
_symmetry_Int_Tables_number 166
_symmetry_space_group_name_Hall '-R 3 2"'
loop_
_atom_site_label
_atom_site_fract_x
_atom_site_fract_y
_atom_site_fract_z
_atom_site_occupancy
K1 0.0000 0.0000 0.0000 1
Sm1 0.0000 0.0000 0.5000 1
O1 0.0000 0.0000 0.2297 1
```



[4]
Density functional theory data (PBE) for a geometry-optimized ZnAsAu structure.

Results
ΔH_f (0 K): 0.09 eV/atom
DFT total energy: -2.98 eV per atom

Geometry as CIF:
```
data_ZnAsAu
_chemical_formula_sum 'Zn1 As1 Au1'
_cell_length_a 4.8263
_cell_length_b 4.8263
_cell_length_c 2.7748
_cell_angle_alpha 90.00
_cell_angle_beta 90.00
_cell_angle_gamma 120.00
_symmetry_space_group_name_H-M 'P -6 m 2'
_symmetry_Int_Tables_number 187
_symmetry_space_group_name_Hall 'P -6 2'
loop_
_atom_site_label
_atom_site_fract_x
_atom_site_fract_y
_atom_site_fract_z
_atom_site_occupancy
Zn1 0.0000 0.0000 0.0000 1
As1 0.3333 0.6667 0.0000 1
Au1 0.6667 0.3333 0.0000 1
```